[1]
This record from the Alexandria database describes an optimized crystal structure of LiMo2Se. The functional is PBE.

a = 3.3050 Å, b = 3.3050 Å, c = 5.6673 Å
α = 90.00°, β = 90.00°, γ = 90.00°
Fractional positions:
Mo (0.0000, 0.0000, 0.0077)
Mo (0.5000, 0.5000, 0.2266)
Li (0.5000, 0.5000, 0.7281)
Se (0.0000, 0.0000, 0.5377)

For the total moment, the calculation gives 0.000 μB/cell. As for the uncorrected formation energy: -0.01 eV per atom. As for the density of states at the Fermi level: 0.755 states/eV per atom.

[2]
This record from the Alexandria database describes an optimized crystal structure of Na2Ag7Pd2. The functional is PBE.

a = 4.2058 Å, b = 6.7060 Å, c = 8.8648 Å
α = 112.22°, β = 103.72°, γ = 90.00°
Fractional positions:
Ag (0.1160, 0.4400, 0.2321)
Ag (0.8840, 0.2079, 0.7679)
Ag (0.5000, 0.9300, 0.0000)
Ag (0.1227, 0.0355, 0.2455)
Ag (0.8773, 0.7901, 0.7545)
Ag (0.6289, 0.7498, 0.2577)
Ag (0.3711, 0.4920, 0.7423)
Na (0.7252, 0.3489, 0.4503)
Na (0.2748, 0.8986, 0.5497)
Pd (0.0000, 0.6259, 0.0000)
Pd (0.5000, 0.3352, 0.0000)

Its formation enthalpy at 0 K is 0.075 eV per atom. For the total moment, the calculation gives 0.000 μB/cell. As for the density of states at the Fermi level: 0.371 states/eV per atom.

[3]
This record from the Alexandria database describes an optimized crystal structure of Ac5Cd2Os2. The functional is PBE.

a = 8.2266 Å, b = 8.3336 Å, c = 9.5756 Å
α = 90.00°, β = 64.56°, γ = 90.00°
Fractional positions:
Cd (0.7852, 0.0000, 0.4297)
Cd (0.2852, 0.5000, 0.4297)
Cd (0.7148, 0.5000, 0.5703)
Cd (0.2148, 0.0000, 0.5703)
Ac (0.5485, 0.8361, 0.2278)
Ac (0.2238, 0.1639, 0.2278)
Ac (0.9515, 0.3361, 0.7722)
Ac (0.7762, 0.8361, 0.7722)
Ac (0.5000, 0.5000, 0.0000)
Ac (0.2762, 0.6639, 0.7722)
Ac (0.4515, 0.1639, 0.7722)
Ac (0.0000, 0.0000, 0.0000)
Ac (0.0485, 0.6639, 0.2278)
Ac (0.7238, 0.3361, 0.2278)
Os (0.1346, 0.3667, 0.0000)
Os (0.8654, 0.6333, 0.0000)
Os (0.3654, 0.8667, 0.0000)
Os (0.6346, 0.1333, 0.0000)

Its formation enthalpy at 0 K is -0.097 eV per atom. For the total moment, the calculation gives 0.000 μB/cell. As for the density of states at the Fermi level: 0.896 states/eV per atom.

[4]
This record from the Alexandria database describes an optimized crystal structure of ZrSc2Te. The functional is PBE.

a = 3.7031 Å, b = 3.7175 Å, c = 7.6486 Å
α = 60.93°, β = 90.00°, γ = 90.00°
Fractional positions:
Te (0.5000, 0.2500, 0.2500)
Zr (0.5000, 0.7500, 0.7500)
Sc (0.0000, 0.9920, 0.0080)
Sc (0.0000, 0.5080, 0.4920)

For the total moment, the calculation gives 0.000 μB/cell. As for the uncorrected formation energy: -0.50 eV per atom. As for the density of states at the Fermi level: 1.428 states/eV per atom.

[5]
This record from the Alexandria database describes an optimized crystal structure of Hf6MoOs5. The functional is PBE.

a = 4.6116 Å, b = 6.5184 Å, c = 7.2948 Å
α = 90.00°, β = 71.57°, γ = 90.00°
Fractional positions:
Os (0.3325, 0.5000, 0.3349)
Os (0.0000, 0.5000, 0.0000)
Os (0.3333, 0.0000, 0.3334)
Os (0.6675, 0.5000, 0.6651)
Os (0.6667, 0.0000, 0.6666)
Mo (0.0000, 0.0000, 0.0000)
Hf (0.1667, 0.7506, 0.6665)
Hf (0.5000, 0.7499, 0.0000)
Hf (0.8333, 0.7506, 0.3335)
Hf (0.8333, 0.2494, 0.3335)
Hf (0.5000, 0.2501, 0.0000)
Hf (0.1667, 0.2494, 0.6665)

Its formation enthalpy at 0 K is -0.601 eV per atom. For the total moment, the calculation gives 0.000 μB/cell. As for the density of states at the Fermi level: 0.674 states/eV per atom.

[6]
This record from the Alexandria database describes an optimized crystal structure of TaBeIn2. The functional is PBE.

a = 5.3720 Å, b = 5.3720 Å, c = 5.3720 Å
α = 136.80°, β = 136.56°, γ = 62.94°
Fractional positions:
Ta (0.7500, 0.2500, 0.5000)
Be (0.2500, 0.7500, 0.5000)
In (0.4991, 0.4991, 0.0000)
In (0.0009, 0.0009, 0.0000)

Its formation enthalpy at 0 K is 0.358 eV per atom. For the total moment, the calculation gives 0.000 μB/cell. As for the density of states at the Fermi level: 0.442 states/eV per atom.

[7]
This record from the Alexandria database describes an optimized crystal structure of HoPuAs2. The functional is PBE.

a = 4.1251 Å, b = 4.1251 Å, c = 7.0977 Å
α = 73.11°, β = 73.11°, γ = 60.00°
Fractional positions:
As (0.7503, 0.7503, 0.7490)
As (0.2497, 0.2497, 0.2510)
Ho (0.0000, 0.0000, 0.0000)
Pu (0.5000, 0.5000, 0.5000)

Its formation enthalpy at 0 K is -1.274 eV per atom. For the total moment, the calculation gives 4.955 μB/cell. As for the energy relative to the lowest polymorph listed for this composition: 0 meV per atom. As for the density of states at the Fermi level: 2.628 states/eV per atom.

[8]
This record from the Alexandria database describes an optimized crystal structure of ScBPt5. The functional is PBE.

a = 3.8848 Å, b = 3.8848 Å, c = 6.9086 Å
α = 90.00°, β = 90.00°, γ = 90.00°
Fractional positions:
Sc (0.0000, 0.0000, 0.5000)
B (0.5000, 0.5000, 0.0000)
Pt (0.0000, 0.5000, 0.8040)
Pt (0.0000, 0.5000, 0.1960)
Pt (0.5000, 0.0000, 0.1960)
Pt (0.5000, 0.0000, 0.8040)
Pt (0.5000, 0.5000, 0.5000)

Its formation enthalpy at 0 K is -0.678 eV per atom. For the total moment, the calculation gives 0.000 μB/cell. As for the density of states at the Fermi level: 0.481 states/eV per atom.

[9]
This record from the Alexandria database describes an optimized crystal structure of HfTa3Si. The functional is PBE.

a = 4.6819 Å, b = 4.6819 Å, c = 4.6819 Å
α = 90.00°, β = 90.00°, γ = 90.00°
Fractional positions:
Ta (0.5000, 0.0000, 0.0000)
Ta (0.0000, 0.5000, 0.0000)
Ta (0.0000, 0.0000, 0.5000)
Si (0.0000, 0.0000, 0.0000)
Hf (0.5000, 0.5000, 0.5000)

For the total moment, the calculation gives 0.000 μB/cell. As for the energy relative to the lowest polymorph listed for this composition: 0 meV per atom. As for the uncorrected formation energy: 0.53 eV per atom. As for the density of states at the Fermi level: 1.259 states/eV per atom.

[10]
This record from the Alexandria database describes an optimized crystal structure of MgZr2Rh. The functional is PBE.

a = 4.7623 Å, b = 4.7623 Å, c = 4.7623 Å
α = 60.00°, β = 60.00°, γ = 60.00°
Fractional positions:
Rh (0.7500, 0.7500, 0.7500)
Zr (0.2500, 0.2500, 0.2500)
Zr (0.0000, 0.0000, 0.0000)
Mg (0.5000, 0.5000, 0.5000)

Its formation enthalpy at 0 K is -0.140 eV per atom. For the total moment, the calculation gives 1.161 μB/cell. As for the energy relative to the lowest polymorph listed for this composition: 266 meV per atom. As for the density of states at the Fermi level: 1.150 states/eV per atom.

[11]
This record from the Alexandria database describes an optimized crystal structure of K2NbAl. The functional is PBE.

a = 12.0181 Å, b = 12.0181 Å, c = 8.9078 Å
α = 47.58°, β = 47.58°, γ = 90.00°
Fractional positions:
K (0.2614, 0.6250, 0.2500)
K (0.4886, 0.1250, 0.2500)
K (0.3750, 0.5114, 0.7500)
K (0.8750, 0.7386, 0.7500)
Al (0.5000, 0.5000, 0.0000)
Al (0.2500, 0.7500, 0.5000)
Nb (0.7500, 0.2500, 0.5000)
Nb (0.0000, 0.0000, 0.0000)

Its formation enthalpy at 0 K is 1.135 eV per atom. For the total moment, the calculation gives 6.765 μB/cell. As for the density of states at the Fermi level: 1.591 states/eV per atom.

[12]
This record from the Alexandria database describes an optimized crystal structure of InSn2Pb6. The functional is PBE.

a = 3.5415 Å, b = 12.4187 Å, c = 12.4197 Å
α = 90.00°, β = 90.00°, γ = 90.00°
Fractional positions:
Pb (0.0000, 0.6702, 0.5104)
Pb (0.0000, 0.3234, 0.1766)
Pb (0.5000, 0.8298, 0.0104)
Pb (0.0000, 0.0104, 0.1702)
Pb (0.0000, 0.6766, 0.8234)
Pb (0.5000, 0.1766, 0.6766)
Pb (0.5000, 0.4896, 0.6702)
Pb (0.5000, 0.8234, 0.3234)
Pb (0.5000, 0.5104, 0.3298)
Pb (0.0000, 0.3298, 0.4896)
Pb (0.0000, 0.9896, 0.8298)
Pb (0.5000, 0.1702, 0.9896)
In (0.0000, 0.0000, 0.5000)
In (0.5000, 0.5000, 0.0000)
Sn (0.5000, 0.8423, 0.6577)
Sn (0.0000, 0.3423, 0.8423)
Sn (0.5000, 0.1577, 0.3423)
Sn (0.0000, 0.6577, 0.1577)

Its formation enthalpy at 0 K is 0.045 eV per atom. For the total moment, the calculation gives 0.000 μB/cell. As for the energy relative to the lowest polymorph listed for this composition: 27 meV per atom. As for the density of states at the Fermi level: 0.612 states/eV per atom.